1.
DFT (PBEsol) results for a relaxed structure of CaAl2Pb.

abc: 5.424 5.424 3.444
angles: 90.00 90.00 111.02
Fractional positions:
Ca1 0.000 0.000 0.000
Al1 0.000 0.500 0.500
Al2 0.500 0.000 0.500
Pb1 0.500 0.500 0.000

The crystal system is orthorhombic. As for the size of the total moment: 0.000 μB per cell. The calculation puts the formation energy at -30 meV/atom. The energy is -3.609 eV per atom.

=====

2.
DFT (PBEsol) results for a relaxed structure of Ca2AlPbW.

abc: 5.361 5.361 4.993
angles: 90.00 90.00 90.00
Fractional positions:
Ca1 0.000 0.500 0.000
Ca2 0.500 0.000 0.000
Al1 0.000 0.000 0.500
Pb1 0.500 0.500 0.500
W1 0.000 0.000 0.000

The crystal system is tetragonal. As for the size of the total moment: 0.001 μB per cell. The calculation puts the formation energy at 847 meV/atom. The energy is -4.386 eV per atom.

=====

3.
DFT (PBEsol) results for a relaxed structure of Ca2AlPd.

abc: 7.634 7.634 7.634
angles: 95.65 95.65 143.44
Fractional positions:
Ca1 0.375 0.217 0.342
Ca2 0.783 0.125 0.158
Ca3 0.875 0.033 0.658
Ca4 0.967 0.625 0.842
Al1 0.250 0.750 0.500
Al2 0.500 0.500 0.000
Pd1 0.000 0.000 0.000
Pd2 0.750 0.250 0.500

The crystal system is tetragonal. As for the size of the total moment: 0.000 μB per cell. The calculation puts the formation energy at -242 meV/atom. The energy is -3.821 eV per atom.

=====

4.
DFT (PBEsol) results for a relaxed structure of CaAl2Pd2.

abc: 6.274 6.274 6.274
angles: 142.01 142.01 54.82
Fractional positions:
Ca1 0.000 0.000 0.000
Al1 0.250 0.750 0.500
Al2 0.750 0.250 0.500
Pd1 0.380 0.380 0.000
Pd2 0.620 0.620 0.000

The crystal system is tetragonal. As for the size of the total moment: 0.000 μB per cell. The calculation puts the formation energy at -745 meV/atom. The energy is -5.191 eV per atom.